1.
Below is a relaxed CdTe2Au2 crystal, with properties calculated at the PBE level.

a = 4.0668 Å, b = 4.0668 Å, c = 8.2950 Å
α = 75.81°, β = 75.81°, γ = 90.00°
Sites, in units of the cell vectors:
Cd 0.0000 0.0000 0.0000
Te 0.3836 0.3836 0.2328
Te 0.6164 0.6164 0.7672
Au 0.7500 0.2500 0.5000
Au 0.2500 0.7500 0.5000

Offset from the most stable computed form: 0 meV/atom
Fermi-level density of states: 3.1 states/eV per cell
Spin magnetization: 0.000 μB per atom
Formation energy without anion corrections: 0.066 eV per atom

---

2.
Below is a relaxed Sn2BiIrPd crystal, with properties calculated at the PBE level.

a = 4.9926 Å, b = 5.3532 Å, c = 4.9926 Å
α = 90.00°, β = 90.00°, γ = 90.00°
Sites, in units of the cell vectors:
Bi 0.5000 0.5000 0.5000
Pd 0.0000 0.5000 0.0000
Ir 0.0000 0.0000 0.0000
Sn 0.0000 0.0000 0.5000
Sn 0.5000 0.0000 0.0000

Energy of formation: 304 meV per atom
Fermi-level density of states: 3.5 states/eV per cell
Spin magnetization: 0.000 μB per atom

---

3.
Below is a relaxed MoS crystal, with properties calculated at the PBE level.

a = 6.0436 Å, b = 6.0436 Å, c = 4.2340 Å
α = 90.00°, β = 90.00°, γ = 90.00°
Sites, in units of the cell vectors:
S 0.2886 0.7114 0.0000
S 0.7886 0.7886 0.5000
S 0.2114 0.2114 0.5000
S 0.7114 0.2886 0.0000
Mo 0.3322 0.3322 0.0000
Mo 0.6678 0.6678 0.0000
Mo 0.8322 0.1678 0.5000
Mo 0.1678 0.8322 0.5000

Offset from the most stable computed form: 502 meV/atom
Fermi-level density of states: 6.5 states/eV per cell
Spin magnetization: 0.000 μB per atom
Formation energy without anion corrections: 0.044 eV per atom

---

4.
Below is a relaxed Tb2ThPa crystal, with properties calculated at the PBE level.

a = 5.1328 Å, b = 4.8254 Å, c = 4.8254 Å
α = 90.00°, β = 90.00°, γ = 90.00°
Sites, in units of the cell vectors:
Pa 0.5000 0.5000 0.5000
Th 0.5000 0.0000 0.0000
Tb 0.0000 0.5000 0.0000
Tb 0.0000 0.0000 0.5000

Energy of formation: 205 meV per atom
Offset from the most stable computed form: 34 meV/atom
Fermi-level density of states: 7.4 states/eV per cell
Spin magnetization: 0.000 μB per atom

---

5.
Below is a relaxed AcLa4Dy6 crystal, with properties calculated at the PBE level.

a = 9.8392 Å, b = 9.8392 Å, c = 9.8392 Å
α = 58.98°, β = 139.26°, γ = 139.26°
Sites, in units of the cell vectors:
La 0.0000 0.0144 0.6284
La 0.3859 0.3716 0.3716
La 0.6141 0.9856 0.9856
La 0.0000 0.6284 0.0144
Ac 0.0000 0.0000 0.0000
Dy 0.5000 0.0000 0.5000
Dy 0.0000 0.7938 0.4428
Dy 0.3511 0.5572 0.5572
Dy 0.6489 0.2062 0.2062
Dy 0.0000 0.4428 0.7938
Dy 0.5000 0.5000 0.0000

Energy of formation: 317 meV per atom
Fermi-level density of states: 15.9 states/eV per cell
Spin magnetization: 0.000 μB per atom

---

6.
Below is a relaxed RbSmOs2O8 crystal, with properties calculated at the PBE level.

a = 6.0723 Å, b = 6.0723 Å, c = 8.0634 Å
α = 90.00°, β = 90.00°, γ = 120.00°
Last column: magnetic moment on the atom in μB.
Sites, in units of the cell vectors:
O 0.6576 0.8245 0.6803  0.15
O 0.3333 0.6667 0.9787  0.19
O 0.6667 0.3333 0.0213  0.19
O 0.8245 0.1668 0.3197  0.15
O 0.1755 0.8332 0.6803  0.15
O 0.8332 0.6576 0.3197  0.15
O 0.3424 0.1755 0.3197  0.15
O 0.1668 0.3424 0.6803  0.15
Os 0.6667 0.3333 0.2406  1.10
Os 0.3333 0.6667 0.7594  1.10
Rb 0.0000 0.0000 0.0000  0.00
Sm 0.0000 0.0000 0.5000  0.07

Fermi-level density of states: 2.5 states/eV per cell
Spin magnetization: 0.336 μB per atom
Formation energy without anion corrections: -1.531 eV per atom

---

7.
Below is a relaxed LaSbRuI2 crystal, with properties calculated at the PBE level.

a = 6.1165 Å, b = 6.1165 Å, c = 6.4227 Å
α = 90.00°, β = 90.00°, γ = 90.00°
Last column: magnetic moment on the atom in μB.
Sites, in units of the cell vectors:
Ru 0.5000 0.5000 0.5000  2.83
I 0.0000 0.5000 0.0000  0.00
I 0.5000 0.0000 0.0000  0.00
La 0.0000 0.0000 0.0000  -0.01
Sb 0.0000 0.0000 0.5000  -0.20

Offset from the most stable computed form: 785 meV/atom
Fermi-level density of states: 10.7 states/eV per cell
Spin magnetization: 0.563 μB per atom
Formation energy without anion corrections: 0.655 eV per atom

---

8.
Below is a relaxed ZnIn3Rh crystal, with properties calculated at the PBE level.

a = 5.1643 Å, b = 5.1643 Å, c = 5.1643 Å
α = 90.00°, β = 90.00°, γ = 90.00°
Sites, in units of the cell vectors:
Zn 0.5000 0.5000 0.5000
In 0.0000 0.0000 0.5000
In 0.5000 0.0000 0.0000
In 0.0000 0.5000 0.0000
Rh 0.0000 0.0000 0.0000

Energy of formation: -31 meV per atom
Offset from the most stable computed form: 0 meV/atom
Fermi-level density of states: 1.5 states/eV per cell
Spin magnetization: 0.000 μB per atom